Material: VP2PbO
Method: DFT, PBE+U
State: optimized geometry

The total DFT energy (no corrections) is -5.511 eV/atom. The energy relative to the lowest polymorph listed for this composition comes out at 0.00 kJ per mole of atoms. As for the magnetic moment: 1.0 μB/cell. The value obtained for the density of states at the Fermi level is 4.22 states/eV/cell.

The structure belongs to space group P4/mmm (No. 123); the cell edges are 5.261, 5.261 and 3.668 Å and the angles 90.00°, 90.00° and 90.00°. The asymmetric unit holds V at (0.000, 0.000, 0.000), P at (0.000, 0.500, 0.000), Pb at (0.500, 0.500, 0.500) and O at (0.000, 0.000, 0.500).